[1]
PuHfPa2 after structural relaxation. Source: Alexandria, functional GGA-PBE.

Lattice parameters (Å, degrees): 4.5427 4.5427 4.6741 90.00 90.00 90.00
With the nearest neighbours (Å) after each atom.
Fractional coordinates of all 4 atoms:
Pu1 0.0000 0.0000 0.0000  4 Hf 3.21, 8 Pa 3.26
Hf1 0.5000 0.5000 0.0000  4 Pu 3.21, 8 Pa 3.26
Pa1 0.0000 0.5000 0.5000  4 Pa 3.21, 4 Hf 3.26, 4 Pu 3.26
Pa2 0.5000 0.0000 0.5000  4 Pa 3.21, 4 Hf 3.26, 4 Pu 3.26

[2]
ZrTi2Cr after structural relaxation. Source: Alexandria, functional GGA-PBE.

Lattice parameters (Å, degrees): 3.1200 3.1200 7.0162 90.00 90.00 90.00
With the nearest neighbours (Å) after each atom.
Fractional coordinates of all 4 atoms:
Zr1 0.0000 0.0000 0.0000  8 Ti 3.04, 4 Zr 3.12
Ti1 0.5000 0.5000 0.2990  4 Cr 2.62, 1 Ti 2.82
Ti2 0.5000 0.5000 0.7010  4 Cr 2.62, 1 Ti 2.82
Cr1 0.0000 0.0000 0.5000  8 Ti 2.62

[3]
Cu2WAu after structural relaxation. Source: Alexandria, functional GGA-PBE.

Lattice parameters (Å, degrees): 2.7315 4.6158 9.2327 90.00 90.00 90.00
With the nearest neighbours (Å) after each atom.
Fractional coordinates of all 8 atoms:
Cu1 0.0000 0.0000 0.0000  4 Cu 2.49-2.73, 4 Au 2.69, 2 W 2.69
Cu2 0.0000 0.5000 0.2748  4 Cu 2.49-2.73, 4 W 2.69, 2 Au 2.69
Cu3 0.5000 0.0000 0.7748  4 Cu 2.49-2.73, 4 W 2.69, 2 Au 2.69
Cu4 0.5000 0.5000 0.5000  4 Cu 2.49-2.73, 4 Au 2.69, 2 W 2.69
W1 0.0000 0.5000 0.7512  6 Cu 2.69, 2 W 2.73, 2 Au 2.86
W2 0.5000 0.0000 0.2512  6 Cu 2.69, 2 W 2.73, 2 Au 2.86
Au1 0.0000 0.0000 0.5235  6 Cu 2.69, 2 Au 2.73, 2 W 2.86
Au2 0.5000 0.5000 0.0235  6 Cu 2.69, 2 Au 2.73, 2 W 2.86

[4]
Pm8Er3 after structural relaxation. Source: Alexandria, functional GGA-PBE.

Lattice parameters (Å, degrees): 7.2694 7.2694 7.2694 84.32 84.32 84.32
With the nearest neighbours (Å) after each atom.
Fractional coordinates of all 11 atoms:
Pm1 0.1115 0.1115 0.1115  3 Er 2.92, 1 Pm 3.07
Pm2 0.1925 0.6164 0.3491  2 Er 3.23-3.24
Pm3 0.3491 0.1925 0.6164  2 Er 3.23-3.24
Pm4 0.3836 0.6509 0.8075  2 Er 3.23-3.24
Pm5 0.6164 0.3491 0.1925  2 Er 3.23-3.24
Pm6 0.6509 0.8075 0.3836  2 Er 3.23-3.24
Pm7 0.8075 0.3836 0.6509  2 Er 3.23-3.24
Pm8 0.8885 0.8885 0.8885  3 Er 2.92, 1 Pm 3.07
Er1 0.0000 0.0000 0.5000  6 Pm 2.92-3.24
Er2 0.0000 0.5000 0.0000  6 Pm 2.92-3.24
Er3 0.5000 0.0000 0.0000  6 Pm 2.92-3.24

Record-wise E_form values, in kcal/mol of atoms: 2.7 1.2 9.2 10.9
Record-wise relative energy among the computed polymorphs values, in eV/atom: 0.041 0.000 0.207 0.116